Below is crystalline LaPm2Pr2Nd4 at its relaxed geometry, with properties calculated at the GGA-PBE level.

Cell lengths 5.232, 8.252, 8.245 Å; angles 107.54, 90.00, 108.48 degrees
Positions (direct):
1 Pr 0.333 0.666 0.001
2 Pr 0.667 0.334 0.999
3 Pm 0.889 0.779 0.336
4 Pm 0.111 0.221 0.664
5 La 0.000 0.000 0.000
6 Nd 0.778 0.555 0.665
7 Nd 0.444 0.889 0.665
8 Nd 0.556 0.111 0.335
9 Nd 0.222 0.445 0.335

Summary:
For the calculated total energy, the calculation gives -42.9 eV for the cell shown. For the formation energy, the calculation gives 0.01 eV per atom.



Below is crystalline La2HfMoP at its relaxed geometry, with properties calculated at the GGA-PBE level.

Cell lengths 5.733, 4.674, 5.733 Å; angles 90.00, 90.00, 90.00 degrees
Each line ends with the local moment (μB).
Positions (direct):
1 La 0.000 0.000 0.500  0.00
2 La 0.500 0.000 0.000  -0.01
3 Hf 0.000 0.000 0.000  0.05
4 Mo 0.000 0.500 0.000  0.25
5 P 0.500 0.500 0.500  -0.01

Summary:
For the calculated total energy, the calculation gives -31.2 eV for the cell shown. For the formation energy, the calculation gives 0.96 eV per atom.



Below is crystalline Tb5YEr6 at its relaxed geometry, with properties calculated at the GGA-PBE level.

Cell lengths 11.698, 6.126, 6.120 Å; angles 59.97, 85.01, 79.99 degrees
Positions (direct):
1 Er 0.250 0.917 0.666
2 Er 0.250 0.584 0.334
3 Er 0.750 0.749 0.000
4 Er 0.750 0.416 0.666
5 Er 0.750 0.083 0.334
6 Er 0.250 0.251 0.000
7 Y 0.000 0.000 0.000
8 Tb 0.000 0.667 0.667
9 Tb 0.000 0.333 0.333
10 Tb 0.500 0.833 0.333
11 Tb 0.500 0.500 0.000
12 Tb 0.500 0.167 0.667

Summary:
For the calculated total energy, the calculation gives -56.8 eV for the cell shown. For the formation energy, the calculation gives 0.02 eV per atom.



Below is crystalline SbP3Pd at its relaxed geometry, with properties calculated at the GGA-PBE level.

Cell lengths 4.710, 4.710, 4.710 Å; angles 90.00, 90.00, 90.00 degrees
Positions (direct):
1 Pd 0.000 0.000 0.000
2 Sb 0.500 0.500 0.500
3 P 0.500 0.000 0.000
4 P 0.000 0.500 0.000
5 P 0.000 0.000 0.500

Summary:
For the calculated total energy, the calculation gives -21.9 eV for the cell shown. As for the energy above the most stable polymorph in this dataset: 0 meV/atom. The value obtained for the energy relative to the elements, uncorrected is 3.6 eV per formula unit.



Copy entry 4 word for word.
Below is crystalline SbP3Pd at its relaxed geometry, with properties calculated at the GGA-PBE level.

Cell lengths 4.710, 4.710, 4.710 Å; angles 90.00, 90.00, 90.00 degrees
Positions (direct):
1 Pd 0.000 0.000 0.000
2 Sb 0.500 0.500 0.500
3 P 0.500 0.000 0.000
4 P 0.000 0.500 0.000
5 P 0.000 0.000 0.500

Summary:
For the calculated total energy, the calculation gives -21.9 eV for the cell shown. As for the energy above the most stable polymorph in this dataset: 0 meV/atom. The value obtained for the energy relative to the elements, uncorrected is 3.6 eV per formula unit.



> What is the calculated total energy in the second record?

-31.2 eV for the cell shown